VASP calculation (PBE with a Hubbard U) on a relaxed structure of TlVSF2.

POSCAR file:
```
TlVSF2
1.0
4.201 0.000 0.000
0.000 4.201 0.000
0.000 0.000 4.947
S Tl F V
1 1 2 1
direct
0.000 0.000 0.500
0.500 0.500 0.500
0.500 0.000 0.000
0.000 0.500 0.000
0.000 0.000 0.000
```

Properties
E_tot = -25.85 eV for the cell shown
space group = P4/mmm (123)